No. 1
Compound: BaCoP2Ir
Source: OQMD via LeMat-Bulk
Functional: PBE
Structure: optimized geometry

Results
The total DFT energy (no corrections) is -6.561 eV per atom. The value obtained for the magnetization is 0.000 μB/cell. The crystal system is tetragonal.

abc: 3.867 3.867 12.809
angles: 90.00 90.00 90.00
Sites, in units of the cell vectors:
Ba (0.000, 0.000, 0.000)
Ba (0.500, 0.500, 0.500)
Co (0.000, 0.500, 0.750)
Co (0.500, 0.000, 0.250)
P (0.000, 0.000, 0.348)
P (0.000, 0.000, 0.652)
P (0.500, 0.500, 0.152)
P (0.500, 0.500, 0.848)
Ir (0.000, 0.500, 0.250)
Ir (0.500, 0.000, 0.750)


No. 2
Compound: RbTmPa
Source: OQMD via LeMat-Bulk
Functional: PBE
Structure: optimized geometry

Results
The total DFT energy (no corrections) is -3.134 eV per atom. The value obtained for the magnetization is 18.101 μB/cell. The crystal system is cubic.

abc: 8.327 8.327 8.327
angles: 90.00 90.00 90.00
Sites, in units of the cell vectors:
Rb (0.000, 0.000, 0.000)
Rb (0.000, 0.500, 0.500)
Rb (0.500, 0.000, 0.500)
Rb (0.500, 0.500, 0.000)
Tm (0.250, 0.250, 0.750)
Tm (0.250, 0.750, 0.250)
Tm (0.750, 0.250, 0.250)
Tm (0.750, 0.750, 0.750)
Pa (0.000, 0.000, 0.500)
Pa (0.000, 0.500, 0.000)
Pa (0.500, 0.000, 0.000)
Pa (0.500, 0.500, 0.500)


No. 3
Compound: LaB4W
Source: OQMD via LeMat-Bulk
Functional: PBE
Structure: optimized geometry

Results
The value obtained for the magnetization is 0.003 μB/cell. The excess energy over the best structure of this formula in the dataset comes out at 0.000 eV per formula unit. The crystal system is hexagonal.

abc: 3.123 3.123 7.665
angles: 90.00 90.00 120.00
Sites, in units of the cell vectors:
La (0.000, 0.000, 0.000)
B (0.333, 0.667, 0.289)
B (0.333, 0.667, 0.711)
B (0.667, 0.333, 0.289)
B (0.667, 0.333, 0.711)
W (0.000, 0.000, 0.500)


No. 4
Compound: Pm2MoH6
Source: OQMD via LeMat-Bulk
Functional: PBE
Structure: optimized geometry

Results
The total DFT energy (no corrections) is -4.975 eV per atom. The value obtained for the magnetization is 0.001 μB/cell. The crystal system is cubic.

abc: 5.187 5.187 5.187
angles: 60.00 60.00 60.00
Sites, in units of the cell vectors:
Pm (0.250, 0.250, 0.250)
Pm (0.750, 0.750, 0.750)
Mo (0.000, 0.000, 0.000)
H (0.252, 0.252, 0.748)
H (0.252, 0.748, 0.252)
H (0.252, 0.748, 0.748)
H (0.748, 0.252, 0.252)
H (0.748, 0.252, 0.748)
H (0.748, 0.748, 0.252)


No. 5
Compound: ErZnNi
Source: OQMD via LeMat-Bulk
Functional: PBE
Structure: optimized geometry

Results
The value obtained for the magnetization is 0.000 μB/cell. The crystal system is orthorhombic. The value obtained for the formation energy is -43.8 kJ/mol of atoms.

abc: 6.758 4.340 7.156
angles: 90.00 90.00 90.00
Sites, in units of the cell vectors:
Er (0.011, 0.250, 0.200)
Er (0.489, 0.750, 0.700)
Er (0.511, 0.250, 0.300)
Er (0.989, 0.750, 0.800)
Zn (0.188, 0.250, 0.589)
Zn (0.312, 0.750, 0.089)
Zn (0.688, 0.250, 0.911)
Zn (0.812, 0.750, 0.411)
Ni (0.196, 0.750, 0.420)
Ni (0.304, 0.250, 0.920)
Ni (0.696, 0.750, 0.080)
Ni (0.804, 0.250, 0.580)


No. 6
Compound: TmScHg
Source: OQMD via LeMat-Bulk
Functional: PBE
Structure: optimized geometry

Results
The value obtained for the magnetization is 0.016 μB/cell. The excess energy over the best structure of this formula in the dataset comes out at 1.544 eV per formula unit. The crystal system is cubic. The value obtained for the formation energy is 40.3 kJ/mol of atoms.

abc: 6.919 6.919 6.919
angles: 90.00 90.00 90.00
Sites, in units of the cell vectors:
Tm (0.000, 0.000, 0.000)
Tm (0.000, 0.500, 0.500)
Tm (0.500, 0.000, 0.500)
Tm (0.500, 0.500, 0.000)
Sc (0.250, 0.250, 0.250)
Sc (0.250, 0.750, 0.750)
Sc (0.750, 0.250, 0.750)
Sc (0.750, 0.750, 0.250)
Hg (0.250, 0.250, 0.750)
Hg (0.250, 0.750, 0.250)
Hg (0.750, 0.250, 0.250)
Hg (0.750, 0.750, 0.750)


No. 7
Compound: MgGaFeAu
Source: OQMD via LeMat-Bulk
Functional: PBE
Structure: optimized geometry

Results
The value obtained for the magnetization is 8.876 μB/cell. The excess energy over the best structure of this formula in the dataset comes out at 0.000 eV per formula unit. The crystal system is cubic.

abc: 6.287 6.287 6.287
angles: 90.00 90.00 90.00
Sites, in units of the cell vectors:
Mg (0.000, 0.000, 0.000)
Mg (0.000, 0.500, 0.500)
Mg (0.500, 0.000, 0.500)
Mg (0.500, 0.500, 0.000)
Ga (0.000, 0.000, 0.500)
Ga (0.000, 0.500, 0.000)
Ga (0.500, 0.000, 0.000)
Ga (0.500, 0.500, 0.500)
Fe (0.250, 0.250, 0.750)
Fe (0.250, 0.750, 0.250)
Fe (0.750, 0.250, 0.250)
Fe (0.750, 0.750, 0.750)
Au (0.250, 0.250, 0.250)
Au (0.250, 0.750, 0.750)
Au (0.750, 0.250, 0.750)
Au (0.750, 0.750, 0.250)


No. 8
Compound: Pm12Ni6Sn
Source: OQMD via LeMat-Bulk
Functional: PBE
Structure: optimized geometry

Results
The total DFT energy (no corrections) is -5.298 eV per atom. The value obtained for the magnetization is 0.009 μB/cell. The crystal system is cubic.

abc: 8.639 8.639 8.639
angles: 109.47 109.47 109.47
Sites, in units of the cell vectors:
Pm (0.120, 0.814, 0.306)
Pm (0.186, 0.306, 0.492)
Pm (0.186, 0.694, 0.880)
Pm (0.306, 0.120, 0.814)
Pm (0.306, 0.492, 0.186)
Pm (0.492, 0.186, 0.306)
Pm (0.508, 0.814, 0.694)
Pm (0.694, 0.508, 0.814)
Pm (0.694, 0.880, 0.186)
Pm (0.814, 0.306, 0.120)
Pm (0.814, 0.694, 0.508)
Pm (0.880, 0.186, 0.694)
Ni (0.122, 0.622, 0.500)
Ni (0.378, 0.500, 0.878)
Ni (0.500, 0.122, 0.622)
Ni (0.500, 0.878, 0.378)
Ni (0.622, 0.500, 0.122)
Ni (0.878, 0.378, 0.500)
Sn (0.000, 0.000, 0.000)


No. 9
Compound: Ta2Sn2O5
Source: OQMD via LeMat-Bulk
Functional: PBE
Structure: optimized geometry

Results
The value obtained for the magnetization is 1.032 μB/cell. The excess energy over the best structure of this formula in the dataset comes out at 7.936 eV per formula unit. The crystal system is tetragonal.

abc: 3.453 3.453 9.376
angles: 90.00 90.00 90.00
Sites, in units of the cell vectors:
Ta (0.000, 0.000, 0.000)
Ta (0.000, 0.000, 0.500)
Sn (0.500, 0.500, 0.214)
Sn (0.500, 0.500, 0.786)
O (0.000, 0.500, 0.341)
O (0.000, 0.500, 0.659)
O (0.500, 0.000, 0.341)
O (0.500, 0.000, 0.659)
O (0.500, 0.500, 0.500)


No. 10
Compound: AcTmTa
Source: OQMD via LeMat-Bulk
Functional: PBE
Structure: optimized geometry

Results
The value obtained for the magnetization is 11.328 μB/cell. The excess energy over the best structure of this formula in the dataset comes out at 0.000 eV per formula unit. The crystal system is cubic. The value obtained for the formation energy is 124.7 kJ/mol of atoms.

abc: 7.352 7.352 7.352
angles: 90.00 90.00 90.00
Sites, in units of the cell vectors:
Ac (0.000, 0.000, 0.000)
Ac (0.000, 0.500, 0.500)
Ac (0.500, 0.000, 0.500)
Ac (0.500, 0.500, 0.000)
Tm (0.250, 0.250, 0.250)
Tm (0.250, 0.750, 0.750)
Tm (0.750, 0.250, 0.750)
Tm (0.750, 0.750, 0.250)
Ta (0.000, 0.000, 0.500)
Ta (0.000, 0.500, 0.000)
Ta (0.500, 0.000, 0.000)
Ta (0.500, 0.500, 0.500)


No. 11
Compound: HoInIr
Source: OQMD via LeMat-Bulk
Functional: PBE
Structure: optimized geometry

Results
The total DFT energy (no corrections) is -5.831 eV per atom. The value obtained for the magnetization is 0.018 μB/cell. The crystal system is hexagonal.

abc: 7.244 7.244 4.166
angles: 90.00 90.00 120.00
Sites, in units of the cell vectors:
Ho (0.000, 0.578, 0.000)
Ho (0.422, 0.422, 0.000)
Ho (0.578, 0.000, 0.000)
In (0.000, 0.000, 0.000)
In (0.333, 0.667, 0.500)
In (0.667, 0.333, 0.500)
Ir (0.000, 0.246, 0.500)
Ir (0.246, 0.000, 0.500)
Ir (0.754, 0.754, 0.500)


No. 12
Compound: RbZrAgSeS2
Source: OQMD via LeMat-Bulk
Functional: PBE
Structure: optimized geometry

Results
The value obtained for the magnetization is 0.001 μB/cell. The excess energy over the best structure of this formula in the dataset comes out at 0.249 eV per formula unit. The crystal system is monoclinic.

abc: 8.730 3.951 9.923
angles: 90.00 111.29 90.00
Sites, in units of the cell vectors:
Rb (0.234, 0.250, 0.277)
Rb (0.766, 0.750, 0.723)
Zr (0.307, 0.750, 0.838)
Zr (0.693, 0.250, 0.162)
Ag (0.077, 0.250, 0.606)
Ag (0.923, 0.750, 0.394)
Se (0.461, 0.750, 0.138)
Se (0.539, 0.250, 0.862)
S (0.127, 0.250, 0.870)
S (0.250, 0.750, 0.568)
S (0.750, 0.250, 0.432)
S (0.873, 0.750, 0.130)